No. 1
This record from Alexandria via LeMat-Bulk describes an optimized crystal structure of MgSiAs2. The functional is PBE.

Calculated values
M_tot (μB/cell): 0.000
Distance to the lowest polymorph of the same formula (eV per atom): 0.408
Energy (eV per atom): -3.99
ΔE_f (raw) (kcal/mol of atoms): 2.11
ρ (Mg/m³): 4.4

abc: 4.697 4.697 3.857
angles: 77.96 77.96 105.37
Sites, in units of the cell vectors:
1 Si 0.000 0.500 0.500
2 As 0.000 0.000 0.000
3 Mg 0.500 0.000 0.500
4 As 0.500 0.500 0.000

---

No. 2
This record from Alexandria via LeMat-Bulk describes an optimized crystal structure of Ce4TlHg5. The functional is PBE.

Calculated values
ΔE_f (eV per atom): -0.297
M_tot (μB/cell): 3.928
Distance to the lowest polymorph of the same formula (eV per atom): 0.000
Energy (eV per atom): -3.06
ρ (Mg/m³): 10.7

abc: 5.234 6.583 8.587
angles: 102.75 107.74 90.00
Sites, in units of the cell vectors:
1 Hg 0.280 0.148 0.560
2 Ce 0.903 0.187 0.806
3 Ce 0.308 0.658 0.616
4 Ce 0.692 0.342 0.384
5 Hg 0.097 0.325 0.195
6 Tl 0.500 0.000 0.000
7 Hg 0.903 0.675 0.805
8 Hg 0.720 0.852 0.440
9 Ce 0.097 0.813 0.194
10 Hg 0.500 0.500 0.000

---

No. 3
This record from Alexandria via LeMat-Bulk describes an optimized crystal structure of TcHPtRh2. The functional is PBE.

Calculated values
M_tot (μB/cell): 2.027
Distance to the lowest polymorph of the same formula (eV per atom): 0.073
Energy (eV per atom): -6.80
ρ (Mg/m³): 13.5

abc: 3.952 3.952 3.939
angles: 90.00 90.00 90.00
Sites, in units of the cell vectors:
1 Rh 0.500 0.000 0.000
2 Tc 0.500 0.500 0.500
3 H 0.000 0.000 0.000
4 Pt 0.000 0.000 0.500
5 Rh 0.000 0.500 0.000

---

No. 4
This record from Alexandria via LeMat-Bulk describes an optimized crystal structure of Th4H2Se5. The functional is PBE.

Calculated values
M_tot (μB/cell): 0.002
Energy (eV per atom): -6.10
ρ (Mg/m³): 8.0

abc: 4.116 7.730 9.603
angles: 111.53 102.37 90.00
Sites, in units of the cell vectors:
1 Se 0.834 0.602 0.669
2 Th 0.312 0.307 0.625
3 Th 0.995 0.265 0.989
4 Se 0.830 0.053 0.660
5 Th 0.688 0.693 0.375
6 Se 0.170 0.947 0.340
7 H 0.444 0.339 0.887
8 H 0.556 0.661 0.113
9 Se 0.500 0.000 0.000
10 Th 0.005 0.735 0.011
11 Se 0.166 0.398 0.331

---

No. 5
This record from Alexandria via LeMat-Bulk describes an optimized crystal structure of Na2NdHg6. The functional is PBE.

Calculated values
ΔE_f (eV per atom): -0.274
M_tot (μB/cell): 0.000
Energy (eV per atom): -1.30
ρ (Mg/m³): 10.1

abc: 3.387 8.848 8.848
angles: 60.01 90.03 90.03
Sites, in units of the cell vectors:
1 Hg 0.501 0.336 0.000
2 Na 0.000 0.667 0.667
3 Hg 0.500 0.336 0.664
4 Hg 0.499 0.000 0.664
5 Hg 0.500 0.664 0.336
6 Nd 0.000 0.000 0.000
7 Hg 0.499 0.664 0.000
8 Na 0.000 0.333 0.333
9 Hg 0.501 0.000 0.336

---

No. 6
This record from Alexandria via LeMat-Bulk describes an optimized crystal structure of BaAlIn2. The functional is PBE.

Calculated values
ΔE_f (eV per atom): -0.085
M_tot (μB/cell): 0.000
Energy (eV per atom): -2.87
ρ (Mg/m³): 5.5

abc: 4.900 4.899 4.961
angles: 90.00 90.00 90.00
Sites, in units of the cell vectors:
1 In 0.500 0.500 0.000
2 In 0.000 0.000 0.000
3 Al 0.500 0.000 0.500
4 Ba 0.000 0.500 0.500

---

No. 7
This record from Alexandria via LeMat-Bulk describes an optimized crystal structure of Dy2ZnSe4. The functional is PBE.

Calculated values
M_tot (μB/cell): 0.000
Energy (eV per atom): -4.99
ΔE_f (raw) (kcal/mol of atoms): -34.69
ρ (Mg/m³): 6.1

abc: 8.157 8.157 8.157
angles: 60.00 60.00 90.00
Sites, in units of the cell vectors:
1 Se 0.748 0.245 0.003
2 Se 0.252 0.755 0.997
3 Se 0.745 0.248 0.503
4 Se 0.748 0.752 0.003
5 Se 0.255 0.752 0.497
6 Dy 0.500 0.000 0.500
7 Zn 0.875 0.625 0.750
8 Dy 0.500 0.000 0.000
9 Zn 0.125 0.375 0.250
10 Dy 0.500 0.500 0.500
11 Se 0.252 0.248 0.997
12 Se 0.252 0.248 0.503
13 Dy 0.000 0.000 0.000
14 Se 0.748 0.752 0.497

---

No. 8
This record from Alexandria via LeMat-Bulk describes an optimized crystal structure of CaGdAlSn. The functional is PBE.

Calculated values
ΔE_f (eV per atom): -0.422
M_tot (μB/cell): 7.057
Energy (eV per atom): -6.38
ρ (Mg/m³): 5.4

abc: 5.306 5.306 5.306
angles: 60.00 60.00 60.00
Sites, in units of the cell vectors:
1 Ca 0.000 0.000 0.000
2 Gd 0.500 0.500 0.500
3 Al 0.250 0.250 0.250
4 Sn 0.750 0.750 0.750